{"formula": "HfSc2Te4", "functional": "GGA-PBE", "state": "relaxed", "cell": [[-0.8023, -3.9191, -0.9914], [4.0462, 0.6937, -6.0167], [3.7386, -0.3224, 6.8152]], "species": ["Hf", "Te", "Te", "Te", "Te", "Sc", "Sc"], "frac_coords": [[0.0000, 0.0000, 0.0000], [0.6248, 0.2987, 0.2496], [0.8844, 0.2226, 0.7688], [0.3752, 0.7013, 0.7504], [0.1156, 0.7774, 0.2312], [0.2475, 0.2243, 0.4950], [0.7525, 0.7757, 0.5050]], "formation_energy_uncorrected_ev_per_atom": -1.059, "relative_energy_mev_per_atom": 0, "final_energy_ev_per_atom": -6.09, "n_ef_per_ev_cell": 2.0, "space_group": "No. 12"}